The following is a DFT calculation (PBE) of crystalline KVSn2Br8 at its relaxed geometry.

Unit cell a=7.7159 b=6.5887 c=8.8891 alpha=105.69 beta=78.14 gamma=92.57
Closest atoms and distances in Å follow each position.
Positions (direct):
Br 0.9333 0.3064 0.2649  1 V 2.63, 1 Sn 2.78
Br 0.3841 0.2451 0.4763  2 Sn 2.78-3.08
Br 0.7114 0.8166 0.0924  1 V 2.58
Br 0.0667 0.6936 0.7351  1 V 2.63, 1 Sn 2.78
Br 0.1765 0.8011 0.1210  1 V 2.50
Br 0.2886 0.1834 0.9076  1 V 2.58
Br 0.6159 0.7549 0.5237  2 Sn 2.78-3.08
Br 0.8235 0.1989 0.8790  1 V 2.50
K 0.0000 0.0000 0.5000  6 Br 3.29-3.40
Sn 0.3864 0.5437 0.7640  4 Br 2.78-3.08
Sn 0.6136 0.4563 0.2360  4 Br 2.78-3.08
V 0.0000 0.0000 0.0000  6 Br 2.50-2.63

Results
Energy, eV/atom: -3.554
Formation energy without anion corrections, eV per atom: -0.9205
Density, g/cm³: 3.8

***

The following is a DFT calculation (PBE) of crystalline KYSnBr6 at its relaxed geometry.

Unit cell a=7.5688 b=7.5688 c=14.3093 alpha=90.00 beta=90.00 gamma=120.00
Closest atoms and distances in Å follow each position.
Positions (direct):
K 0.0000 0.0000 0.0000  6 Br 3.38
K 0.0000 0.0000 0.5000  6 Br 3.38
Br 0.0185 0.3749 0.6359  1 Y 2.82, 1 Sn 3.00
Br 0.9815 0.6251 0.3641  1 Y 2.82, 1 Sn 3.00
Br 0.6251 0.9815 0.8641  1 Y 2.82, 1 Sn 3.00
Br 0.6436 0.0185 0.3641  1 Y 2.82, 1 Sn 3.00
Br 0.6436 0.6251 0.1359  1 Y 2.82, 1 Sn 3.00
Br 0.3749 0.3564 0.3641  1 Y 2.82, 1 Sn 3.00
Br 0.6251 0.6436 0.6359  1 Y 2.82, 1 Sn 3.00
Br 0.9815 0.3564 0.1359  1 Y 2.82, 1 Sn 3.00
Br 0.0185 0.6436 0.8641  1 Y 2.82, 1 Sn 3.00
Br 0.3564 0.3749 0.8641  1 Y 2.82, 1 Sn 3.00
Br 0.3749 0.0185 0.1359  1 Y 2.82, 1 Sn 3.00
Br 0.3564 0.9815 0.6359  1 Y 2.82, 1 Sn 3.00
Sn 0.3333 0.6667 0.2500  6 Br 3.00
Sn 0.6667 0.3333 0.7500  6 Br 3.00
Y 0.6667 0.3333 0.2500  6 Br 2.82
Y 0.3333 0.6667 0.7500  6 Br 2.82

Results
Energy, eV/atom: -3.905
Formation energy without anion corrections, eV per atom: -1.5047
Density, g/cm³: 3.4

***

The following is a DFT calculation (PBE) of crystalline K2ZnSnBr6 at its relaxed geometry.

Unit cell a=7.8030 b=7.8012 c=8.9664 alpha=64.24 beta=64.21 gamma=59.99
Closest atoms and distances in Å follow each position.
Positions (direct):
Br 0.4777 0.7147 0.7329  1 Sn 2.73
Br 0.2310 0.9717 0.2237  1 Zn 2.36
Br 0.9719 0.5733 0.2238  1 Zn 2.35
Br 0.0750 0.4777 0.7328  1 Sn 2.73
Br 0.5732 0.2308 0.2240  1 Zn 2.36
Br 0.7146 0.0752 0.7328  1 Sn 2.73
K 0.5147 0.5148 0.4561  6 Br 3.31-3.41
K 0.0259 0.0261 0.9218  6 Br 3.32-3.49
Sn 0.8159 0.8159 0.5524  3 Br 2.73
Zn 0.2617 0.2615 0.2149  3 Br 2.35-2.36

Results
Energy, eV/atom: -2.928
Formation energy without anion corrections, eV per atom: -1.1772
Density, g/cm³: 3.0

***

The following is a DFT calculation (PBE) of crystalline K2ZrSnBr at its relaxed geometry.

Unit cell a=6.8427 b=5.7511 c=6.8427 alpha=90.00 beta=90.00 gamma=90.00
Closest atoms and distances in Å follow each position.
Positions (direct):
K 0.5000 0.0000 0.0000  2 Sn 3.42
K 0.0000 0.0000 0.5000  2 Sn 3.42
Zr 0.5000 0.5000 0.5000  8 K 4.47, 4 Br 4.84
Sn 0.0000 0.0000 0.0000  2 Br 2.88
Br 0.0000 0.5000 0.0000  2 Sn 2.88

Results
Energy, eV/atom: -2.493
Formation energy without anion corrections, eV per atom: 0.7906
Density, g/cm³: 2.3

***

The following is a DFT calculation (PBE) of crystalline KSr2Br5 at its relaxed geometry.

Unit cell a=8.4130 b=9.4144 c=13.5722 alpha=90.04 beta=90.00 gamma=90.00
Closest atoms and distances in Å follow each position.
Positions (direct):
Br 0.3295 0.2177 0.3176  3 Sr 3.14-3.32
Br 0.8404 0.9624 0.8991  4 Sr 3.10-3.24
Br 0.8295 0.7823 0.1824  3 Sr 3.14-3.32
Br 0.3069 0.7699 0.2851  3 Sr 3.18-3.26, 2 K 3.49-3.51
Br 0.6931 0.2301 0.7149  3 Sr 3.18-3.26, 2 K 3.49-3.51
Br 0.0456 0.7825 0.5024  3 Sr 3.19-3.27, 1 K 3.53
Br 0.1596 0.0376 0.1009  4 Sr 3.10-3.24
Br 0.1705 0.2177 0.8176  3 Sr 3.14-3.32
Br 0.5456 0.2175 0.9976  3 Sr 3.19-3.27, 1 K 3.53
Br 0.3323 0.4654 0.5913  2 Sr 3.04-3.12, 2 K 3.33-3.40
Br 0.6596 0.9624 0.3991  4 Sr 3.10-3.24
Br 0.1931 0.7699 0.7851  3 Sr 3.18-3.26, 2 K 3.49-3.51
Br 0.8069 0.2301 0.2149  3 Sr 3.18-3.26, 2 K 3.49-3.51
Br 0.3404 0.0376 0.6009  4 Sr 3.10-3.24
Br 0.8323 0.5346 0.9087  2 Sr 3.04-3.12, 2 K 3.33-3.40
Br 0.6705 0.7823 0.6824  3 Sr 3.14-3.32
Br 0.1677 0.4654 0.0913  2 Sr 3.04-3.12, 2 K 3.33-3.40
Br 0.4544 0.7825 0.0024  3 Sr 3.19-3.27, 1 K 3.53
Br 0.6677 0.5346 0.4087  2 Sr 3.04-3.12, 2 K 3.33-3.40
Br 0.9544 0.2175 0.4976  3 Sr 3.19-3.27, 1 K 3.53
K 0.0389 0.4912 0.3282  7 Br 3.33-3.62
K 0.9611 0.5088 0.6718  7 Br 3.33-3.62
K 0.5389 0.5088 0.1718  7 Br 3.33-3.62
K 0.4611 0.4912 0.8282  7 Br 3.33-3.62
Sr 0.5215 0.0022 0.1783  8 Br 3.19-3.32
Sr 0.4329 0.7495 0.5054  7 Br 3.04-3.27
Sr 0.9785 0.0022 0.6783  8 Br 3.19-3.32
Sr 0.9329 0.2505 0.9946  7 Br 3.04-3.27
Sr 0.0215 0.9978 0.3217  8 Br 3.19-3.32
Sr 0.5671 0.2505 0.4946  7 Br 3.04-3.27
Sr 0.4785 0.9978 0.8217  8 Br 3.19-3.32
Sr 0.0671 0.7495 0.0054  7 Br 3.04-3.27

Results
Energy, eV/atom: -3.637
Formation energy without anion corrections, eV per atom: -2.0343
Energy above the most stable polymorph in this dataset, kJ per mole of atoms: 0.0
Density, g/cm³: 3.8

***

The following is a DFT calculation (PBE) of crystalline KSrBr at its relaxed geometry.

Unit cell a=5.2922 b=5.2922 c=11.2074 alpha=90.00 beta=90.00 gamma=90.00
Closest atoms and distances in Å follow each position.
Positions (direct):
K 0.5000 0.0000 0.5929  4 K 4.28, 4 Sr 4.67
K 0.0000 0.5000 0.4071  4 K 4.28, 4 Sr 4.67
Br 0.0000 0.0000 0.0000  4 Sr 3.19
Br 0.5000 0.5000 0.0000  4 Sr 3.19
Sr 0.5000 0.0000 0.1583  4 Br 3.19
Sr 0.0000 0.5000 0.8417  4 Br 3.19

Results
Energy, eV/atom: -2.410
Formation energy without anion corrections, eV per atom: -0.9263
Energy above the most stable polymorph in this dataset, kJ per mole of atoms: 6.4
Density, g/cm³: 2.2

***

The following is a DFT calculation (PBE) of crystalline KSr3Br7 at its relaxed geometry.

Unit cell a=7.5422 b=8.0137 c=7.5422 alpha=106.05 beta=96.01 gamma=106.05
Closest atoms and distances in Å follow each position.
Positions (direct):
Br 0.3745 0.7394 0.9453  3 Sr 3.08-3.26
Br 0.9453 0.7394 0.3745  3 Sr 3.08-3.26
Br 0.1481 0.2404 0.1481  3 Sr 3.02-3.18, 1 K 3.29
Br 0.5000 0.0000 0.5000  2 Sr 3.05
Br 0.8519 0.7596 0.8519  3 Sr 3.02-3.18, 1 K 3.29
Br 0.6255 0.2606 0.0547  3 Sr 3.08-3.26
Br 0.0547 0.2606 0.6255  3 Sr 3.08-3.26
Sr 0.7720 0.0000 0.2280  7 Br 3.05-3.26
Sr 0.0000 0.5000 0.0000  6 Br 3.02-3.08
Sr 0.2280 0.0000 0.7720  7 Br 3.05-3.26
K 0.5000 0.5000 0.5000  2 Br 3.29

Results
Energy, eV/atom: -3.650
Formation energy without anion corrections, eV per atom: -2.0269
Density, g/cm³: 3.5

***

The following is a DFT calculation (PBE) of crystalline KSr2Br5 at its relaxed geometry.

Unit cell a=4.6749 b=7.7228 c=9.2540 alpha=114.66 beta=104.63 gamma=90.00
Closest atoms and distances in Å follow each position.
Positions (direct):
Br 0.3462 0.0818 0.6923  3 Sr 3.15-3.17
Br 0.6538 0.9182 0.3077  3 Sr 3.15-3.17
Br 0.0000 0.5000 0.0000  2 Sr 3.00
Br 0.3462 0.6105 0.6923  3 Sr 3.15-3.17
Br 0.6538 0.3895 0.3077  3 Sr 3.15-3.17
Sr 0.8146 0.3146 0.6293  7 Br 3.00-3.17
Sr 0.1854 0.6854 0.3707  7 Br 3.00-3.17
K 0.0000 0.0000 0.0000  10 Br 3.86-3.87

Results
Energy, eV/atom: -3.597
Formation energy without anion corrections, eV per atom: -1.9941
Energy above the most stable polymorph in this dataset, kJ per mole of atoms: 3.9
Density, g/cm³: 3.5

***

The following is a DFT calculation (PBE) of crystalline K2Sr2Br at its relaxed geometry.

Unit cell a=8.5429 b=8.5429 c=8.0221 alpha=90.00 beta=90.00 gamma=90.00
Closest atoms and distances in Å follow each position.
Positions (direct):
Br 0.0000 0.0000 0.0000  4 K 3.17
Br 0.5000 0.5000 0.0000  4 K 3.17
K 0.6703 0.1703 0.0000  2 Br 3.17
K 0.1703 0.3297 0.0000  2 Br 3.17
K 0.3297 0.8297 0.0000  2 Br 3.17
K 0.8297 0.6703 0.0000  2 Br 3.17
Sr 0.6732 0.8268 0.5000  5 Sr 4.19-4.47, 2 K 4.43
Sr 0.8268 0.3268 0.5000  5 Sr 4.19-4.47, 2 K 4.43
Sr 0.3268 0.1732 0.5000  5 Sr 4.19-4.47, 2 K 4.43
Sr 0.1732 0.6732 0.5000  5 Sr 4.19-4.47, 2 K 4.43

Results
Energy, eV/atom: -1.825
Formation energy without anion corrections, eV per atom: -0.3787
Energy above the most stable polymorph in this dataset, kJ per mole of atoms: 6.7
Density, g/cm³: 1.9

***

The following is a DFT calculation (PBE) of crystalline K5Sr3Br12 at its relaxed geometry.

Unit cell a=16.1583 b=16.1583 c=16.1583 alpha=109.47 beta=109.47 gamma=109.47
Closest atoms and distances in Å follow each position.
Positions (direct):
Br 0.8957 0.0685 0.6322  2 K 3.10-3.27, 1 Sr 3.16, 1 Br 3.46
Br 0.5637 0.3273 0.9315  2 K 3.10-3.27, 1 Sr 3.16, 1 Br 3.46
Br 0.9363 0.3678 0.2635  2 K 3.10-3.27, 1 Sr 3.16, 1 Br 3.46
Br 0.9315 0.1043 0.8678  2 K 3.10-3.27, 1 Sr 3.16, 1 Br 3.46
Br 0.9315 0.8273 0.5637  2 K 3.10-3.27, 1 Sr 3.16, 1 Br 3.46
Br 0.8678 0.2635 0.4363  2 K 3.10-3.27, 1 Sr 3.16, 1 Br 3.46
Br 0.0685 0.1727 0.4363  2 K 3.10-3.27, 1 Sr 3.16, 1 Br 3.46
Br 0.6043 0.8678 0.4315  2 K 3.10-3.27, 1 Sr 3.16, 1 Br 3.46
Br 0.3957 0.2635 0.3273  2 K 3.10-3.27, 1 Sr 3.16, 1 Br 3.46
Br 0.6043 0.7365 0.6727  2 K 3.10-3.27, 1 Sr 3.16, 1 Br 3.46
Br 0.2365 0.5637 0.6322  2 K 3.10-3.27, 1 Sr 3.16, 1 Br 3.46
Br 0.4363 0.6727 0.0685  2 K 3.10-3.27, 1 Sr 3.16, 1 Br 3.46
Br 0.2635 0.3957 0.8273  2 K 3.10-3.27, 1 Sr 3.16, 1 Br 3.46
Br 0.8273 0.8957 0.2635  2 K 3.10-3.27, 1 Sr 3.16, 1 Br 3.46
Br 0.6322 0.0637 0.2365  2 K 3.10-3.27, 1 Sr 3.16, 1 Br 3.46
Br 0.3678 0.4315 0.1043  2 K 3.10-3.27, 1 Sr 3.16, 1 Br 3.46
Br 0.3678 0.9363 0.7635  2 K 3.10-3.27, 1 Sr 3.16, 1 Br 3.46
Br 0.7365 0.6043 0.1727  2 K 3.10-3.27, 1 Sr 3.16, 1 Br 3.46
Br 0.0637 0.6322 0.7365  2 K 3.10-3.27, 1 Sr 3.16, 1 Br 3.46
Br 0.7635 0.4363 0.3678  2 K 3.10-3.27, 1 Sr 3.16, 1 Br 3.46
Br 0.6727 0.4363 0.5685  2 K 3.10-3.27, 1 Sr 3.16, 1 Br 3.46
Br 0.8273 0.9315 0.0637  2 K 3.10-3.27, 1 Sr 3.16, 1 Br 3.46
Br 0.1322 0.7365 0.5637  2 K 3.10-3.27, 1 Sr 3.16, 1 Br 3.46
Br 0.1727 0.0685 0.9363  2 K 3.10-3.27, 1 Sr 3.16, 1 Br 3.46
Br 0.1727 0.1043 0.7365  2 K 3.10-3.27, 1 Sr 3.16, 1 Br 3.46
Br 0.1043 0.9315 0.3678  2 K 3.10-3.27, 1 Sr 3.16, 1 Br 3.46
Br 0.1043 0.1727 0.2365  2 K 3.10-3.27, 1 Sr 3.16, 1 Br 3.46
Br 0.4315 0.3678 0.6043  2 K 3.10-3.27, 1 Sr 3.16, 1 Br 3.46
Br 0.2635 0.8678 0.9363  2 K 3.10-3.27, 1 Sr 3.16, 1 Br 3.46
Br 0.3273 0.5637 0.4315  2 K 3.10-3.27, 1 Sr 3.16, 1 Br 3.46
Br 0.2365 0.6727 0.1043  2 K 3.10-3.27, 1 Sr 3.16, 1 Br 3.46
Br 0.5685 0.6322 0.3957  2 K 3.10-3.27, 1 Sr 3.16, 1 Br 3.46
Br 0.4315 0.0637 0.3273  2 K 3.10-3.27, 1 Sr 3.16, 1 Br 3.46
Br 0.6322 0.5685 0.8957  2 K 3.10-3.27, 1 Sr 3.16, 1 Br 3.46
Br 0.0637 0.4315 0.8273  2 K 3.10-3.27, 1 Sr 3.16, 1 Br 3.46
Br 0.0685 0.8957 0.1322  2 K 3.10-3.27, 1 Sr 3.16, 1 Br 3.46
Br 0.4363 0.7635 0.8678  2 K 3.10-3.27, 1 Sr 3.16, 1 Br 3.46
Br 0.9363 0.5685 0.1727  2 K 3.10-3.27, 1 Sr 3.16, 1 Br 3.46
Br 0.6727 0.2365 0.6043  2 K 3.10-3.27, 1 Sr 3.16, 1 Br 3.46
Br 0.7365 0.1322 0.0637  2 K 3.10-3.27, 1 Sr 3.16, 1 Br 3.46
Br 0.5637 0.2365 0.1322  2 K 3.10-3.27, 1 Sr 3.16, 1 Br 3.46
Br 0.8957 0.8273 0.7635  2 K 3.10-3.27, 1 Sr 3.16, 1 Br 3.46
Br 0.1322 0.3957 0.0685  2 K 3.10-3.27, 1 Sr 3.16, 1 Br 3.46
Br 0.5685 0.9363 0.6727  2 K 3.10-3.27, 1 Sr 3.16, 1 Br 3.46
Br 0.3957 0.1322 0.5685  2 K 3.10-3.27, 1 Sr 3.16, 1 Br 3.46
Br 0.7635 0.3273 0.8957  2 K 3.10-3.27, 1 Sr 3.16, 1 Br 3.46
Br 0.3273 0.7635 0.3957  2 K 3.10-3.27, 1 Sr 3.16, 1 Br 3.46
Br 0.8678 0.6043 0.9315  2 K 3.10-3.27, 1 Sr 3.16, 1 Br 3.46
K 0.0000 0.5000 0.0000  6 Br 3.27
K 0.5000 0.0000 0.0000  6 Br 3.27
K 0.0000 0.0000 0.0000  6 Br 3.27
K 0.0000 0.5000 0.5000  6 Br 3.27
K 0.5000 0.0000 0.5000  6 Br 3.27
K 0.3750 0.1250 0.7500  4 Br 3.10
K 0.6250 0.8750 0.2500  4 Br 3.10
K 0.7500 0.6250 0.3750  4 Br 3.10
K 0.8750 0.6250 0.7500  4 Br 3.10
K 0.2500 0.8750 0.1250  4 Br 3.10
K 0.8750 0.2500 0.6250  4 Br 3.10
K 0.5000 0.5000 0.0000  6 Br 3.27
K 0.2500 0.3750 0.6250  4 Br 3.10
K 0.1250 0.7500 0.3750  4 Br 3.10
K 0.5000 0.5000 0.5000  6 Br 3.27
K 0.3750 0.2500 0.1250  4 Br 3.10
K 0.6250 0.7500 0.8750  4 Br 3.10
K 0.1250 0.3750 0.2500  4 Br 3.10
K 0.0000 0.0000 0.5000  6 Br 3.27
K 0.7500 0.1250 0.8750  4 Br 3.10
Sr 0.3750 0.6250 0.2500  4 Br 3.16
Sr 0.3750 0.7500 0.6250  4 Br 3.16
Sr 0.8750 0.7500 0.1250  4 Br 3.16
Sr 0.1250 0.8750 0.7500  4 Br 3.16
Sr 0.7500 0.3750 0.1250  4 Br 3.16
Sr 0.2500 0.6250 0.8750  4 Br 3.16
Sr 0.7500 0.8750 0.6250  4 Br 3.16
Sr 0.2500 0.1250 0.3750  4 Br 3.16
Sr 0.6250 0.3750 0.7500  4 Br 3.16
Sr 0.1250 0.2500 0.8750  4 Br 3.16
Sr 0.6250 0.2500 0.3750  4 Br 3.16
Sr 0.8750 0.1250 0.2500  4 Br 3.16

Results
Energy, eV/atom: -3.200
Formation energy without anion corrections, eV per atom: -1.6701
Density, g/cm³: 2.9

***

The following is a DFT calculation (PBE) of crystalline KSrBr at its relaxed geometry.

Unit cell a=4.3918 b=4.3918 c=8.0725 alpha=90.00 beta=90.00 gamma=120.00
Closest atoms and distances in Å follow each position.
Positions (direct):
Br 0.0000 0.0000 0.9935  3 Sr 3.33, 3 K 3.43
K 0.6667 0.3333 0.2801  3 Br 3.43
Sr 0.3333 0.6667 0.7264  3 Br 3.33

Results
Energy, eV/atom: -2.477
Formation energy without anion corrections, eV per atom: -0.9924
Energy above the most stable polymorph in this dataset, kJ per mole of atoms: 0.0
Density, g/cm³: 2.5

***

The following is a DFT calculation (PBE) of crystalline KSrBr at its relaxed geometry.

Unit cell a=5.6653 b=5.6653 c=5.6653 alpha=60.00 beta=60.00 gamma=60.00
Closest atoms and distances in Å follow each position.
Positions (direct):
K 0.0000 0.0000 0.0000  4 Br 3.47
Sr 0.5000 0.5000 0.5000  4 Br 3.47
Br 0.7500 0.7500 0.7500  4 K 3.47, 4 Sr 3.47

Results
Energy, eV/atom: -2.183
Formation energy without anion corrections, eV per atom: -0.6991
Energy above the most stable polymorph in this dataset, kJ per mole of atoms: 28.3
Density, g/cm³: 2.7